TaSb | PBE | relaxed

a = 5.324 Å, b = 5.324 Å, c = 7.119 Å
α = 75.91°, β = 75.91°, γ = 39.19°
Element x y z (fractional)
Ta (0.963, 0.963, 0.621)
Sb (0.673, 0.673, 0.665)
Ta (0.269, 0.269, 0.903)
Sb (0.635, 0.635, 0.246)
Sb (0.958, 0.958, 0.032)
Ta (0.335, 0.335, 0.367)

Volume, A^3/atom: 20.5
Space group: Cm, No. 8

***

TaSb2 | PBE | relaxed

a = 5.364 Å, b = 5.364 Å, c = 9.123 Å
α = 65.79°, β = 65.79°, γ = 37.00°
Element x y z (fractional)
Sb (0.002, 0.002, 0.673)
Ta (0.702, 0.702, 0.399)
Ta (0.298, 0.298, 0.601)
Sb (0.998, 0.998, 0.327)
Sb (0.665, 0.665, 0.900)
Sb (0.335, 0.335, 0.100)

Volume, A^3/atom: 23.7
Space group: C2/m, No. 12

***

Ta2Sb | PBE | relaxed

a = 6.502 Å, b = 6.502 Å, c = 6.502 Å
α = 90.00°, β = 90.00°, γ = 90.00°
Element x y z (fractional)
Sb (0.000, 0.000, 0.000)
Ta (0.620, 0.880, 0.880)
Ta (0.620, 0.620, 0.380)
Sb (0.500, 0.000, 0.500)
Ta (0.880, 0.120, 0.380)
Ta (0.380, 0.120, 0.120)
Ta (0.380, 0.380, 0.620)
Ta (0.880, 0.380, 0.880)
Ta (0.120, 0.620, 0.120)
Ta (0.120, 0.880, 0.620)
Sb (0.000, 0.500, 0.500)
Sb (0.500, 0.500, 0.000)

Volume, A^3/atom: 22.9
Space group: Pa-3, No. 205

***

Ta4Sb | PBE | relaxed

a = 4.930 Å, b = 4.930 Å, c = 4.930 Å
α = 90.00°, β = 90.00°, γ = 90.00°
Element x y z (fractional)
Ta (0.500, 0.500, 0.000)
Ta (0.000, 0.000, 0.000)
Ta (0.000, 0.500, 0.500)
Sb (0.500, 0.500, 0.500)
Ta (0.500, 0.000, 0.500)

Volume, A^3/atom: 24.0
Energy above the most stable polymorph in this dataset, meV per atom: 1909
Space group: Pm-3m, No. 221

***

Ta7Sb | PBE | relaxed

a = 5.965 Å, b = 5.965 Å, c = 5.965 Å
α = 60.00°, β = 60.00°, γ = 60.00°
Element x y z (fractional)
Ta (0.500, 0.500, 0.500)
Ta (0.500, 0.500, 0.000)
Ta (0.500, 0.000, 0.500)
Sb (0.000, 0.000, 0.000)
Ta (0.000, 0.000, 0.500)
Ta (0.000, 0.500, 0.500)
Ta (0.500, 0.000, 0.000)
Ta (0.000, 0.500, 0.000)

Volume, A^3/atom: 18.8
Space group: Fm-3m, No. 225

***

TaSb3 | PBE | relaxed

a = 6.378 Å, b = 6.378 Å, c = 10.864 Å
α = 90.00°, β = 90.00°, γ = 120.00°
Last column: magnetic moment on the atom in μB.
Element x y z (fractional)
Sb (0.500, 0.000, 0.500)  0.00
Ta (0.667, 0.333, 0.750)  0.10
Sb (0.686, 0.843, 0.750)  0.00
Sb (0.157, 0.843, 0.750)  0.00
Sb (0.000, 0.500, 0.000)  0.00
Sb (0.500, 0.500, 0.000)  0.00
Sb (0.500, 0.500, 0.500)  0.00
Ta (0.333, 0.667, 0.250)  0.10
Ta (0.000, 0.000, 0.000)  0.04
Sb (0.843, 0.157, 0.250)  0.00
Sb (0.157, 0.314, 0.750)  0.00
Sb (0.314, 0.157, 0.250)  0.00
Sb (0.843, 0.686, 0.250)  0.00
Sb (0.000, 0.500, 0.500)  0.00
Sb (0.500, 0.000, 0.000)  0.00
Ta (0.000, 0.000, 0.500)  0.04

Volume, A^3/atom: 23.9
Energy above the most stable polymorph in this dataset, meV per atom: 524
Space group: P6_3/mmc, No. 194

***

| no. | total DFT energy (no corrections) (eV/f.u.) | M_tot (μB/atom) |
| --- | --- | --- |
| 1 | -15.83 | 0.0000 |
| 2 | -19.83 | 0.0000 |
| 3 | -24.98 | 0.0000 |
| 4 | -42.03 | 0.0000 |
| 5 | -86.28 | 0.0000 |
| 6 | -21.80 | 0.0250 |